Compound: RbPtW2C
Source: the Alexandria database
Functional: SCAN
Structure: single point on PBEsol structure

It has space group P4/mmm (No. 123), with a = 4.215 Å, b = 4.215 Å, c = 4.612 Å, α = 90.00°, β = 90.00° and γ = 90.00°. The asymmetric unit holds Rb at (0.000, 0.000, 0.000), Pt at (0.500, 0.500, 0.000), W at (0.000, 0.500, 0.500) and C at (0.500, 0.500, 0.500).

The formation enthalpy at 0 K is 1.51 eV/atom. For the uncorrected energy, the calculation gives -46.574 eV/atom.